1.
This record from Alexandria via LeMat-Bulk describes a relaxed structure of MnNbGa3. The functional is GGA-PBE.

Cell lengths 4.481, 4.481, 4.481 Å; angles 90.00, 90.00, 90.00 degrees
Space group Pm-3m (No. 221)
Asymmetric unit:
Mn: 0.000 0.000 0.000 x1
Nb: 0.500 0.500 0.500 x1
Ga: 0.000 0.000 0.500 x3

Output
* total moment: 1.4 μB/f.u.
* energy of formation from the pure elements: 0.53 eV per atom
* V: 90 Å³/cell
* energy relative to the lowest polymorph listed for this composition: 0.0 kJ/mol of atoms

---

2.
This record from Alexandria via LeMat-Bulk describes a relaxed structure of MnNb12Ga6. The functional is GGA-PBE.

Cell lengths 9.6594, 9.6594, 12.0975 Å; angles 90.00, 90.00, 120.00 degrees
Space group R-3 (No. 148, hexagonal axes)
Asymmetric unit:
Mn: 0.0000 0.0000 0.0000 x3
Nb: 0.0537 0.1864 0.8080 x18
Nb: 0.0707 0.8445 0.4165 x18
Ga: 0.0372 0.4477 0.7090 x18

Output
* total moment: 2.1 μB/f.u.
* energy of formation from the pure elements: -0.14 eV per atom
* V: 978 Å³/cell

---

3.
This record from Alexandria via LeMat-Bulk describes a relaxed structure of MnNb6Ga. The functional is GGA-PBE.

Cell lengths 5.155, 5.155, 5.155 Å; angles 90.00, 90.00, 90.00 degrees
Space group Pm-3 (No. 200)
Asymmetric unit:
Mn: 0.000 0.000 0.000 x1
Nb: 0.000 0.244 0.500 x6
Ga: 0.500 0.500 0.500 x1

Output
* total moment: 0.3 μB/f.u.
* energy of formation from the pure elements: -0.13 eV per atom
* V: 137 Å³/cell

---

4.
This record from Alexandria via LeMat-Bulk describes a relaxed structure of MnNb6Ga3. The functional is GGA-PBE.

Cell lengths 4.993, 7.609, 10.357 Å; angles 90.00, 117.59, 90.00 degrees
Space group P2_1/c (No. 14)
Asymmetric unit:
Mn: 0.000 0.000 0.000 x2
Nb: 0.096 0.058 0.240 x4
Nb: 0.134 0.689 0.070 x4
Nb: 0.493 0.162 0.061 x4
Ga: 0.365 0.118 0.740 x4
Ga: 0.500 0.000 0.500 x2

Output
* total moment: 0.0 μB/f.u.
* energy of formation from the pure elements: -0.01 eV per atom
* V: 349 Å³/cell

---

5.
This record from Alexandria via LeMat-Bulk describes a relaxed structure of MnNb3Ga. The functional is GGA-PBE.

Cell lengths 4.701, 4.701, 4.701 Å; angles 90.00, 90.00, 90.00 degrees
Space group Pm-3m (No. 221)
Asymmetric unit:
Mn: 0.000 0.000 0.000 x1
Nb: 0.000 0.500 0.500 x3
Ga: 0.500 0.500 0.500 x1

Output
* total moment: 0.9 μB/f.u.
* energy of formation from the pure elements: 1.54 eV per atom
* V: 104 Å³/cell
* energy relative to the lowest polymorph listed for this composition: 90.4 kJ/mol of atoms

---

6.
This record from Alexandria via LeMat-Bulk describes a relaxed structure of Mn2Nb2Ga. The functional is GGA-PBE.

Cell lengths 6.821, 6.821, 3.306 Å; angles 90.00, 90.00, 90.00 degrees
Space group P4/mbm (No. 127)
Asymmetric unit:
Mn: 0.124 0.376 0.000 x4
Nb: 0.182 0.682 0.500 x4
Ga: 0.000 0.000 0.000 x2

Output
* total moment: 3.3 μB/f.u.
* energy of formation from the pure elements: 0.01 eV per atom
* V: 154 Å³/cell

---

7.
This record from Alexandria via LeMat-Bulk describes a relaxed structure of MnNb4Ga. The functional is GGA-PBE.

Cell lengths 13.473, 6.004, 6.024 Å; angles 90.00, 112.74, 90.00 degrees
Space group C2/c (No. 15)
Asymmetric unit:
Mn: 0.250 0.250 0.000 x4
Nb: 0.133 0.002 0.617 x8
Nb: 0.135 0.496 0.621 x8
Ga: 0.000 0.253 0.250 x4

Output
* total moment: 0.0 μB/f.u.
* energy of formation from the pure elements: 0.29 eV per atom
* V: 449 Å³/cell

---

8.
This record from Alexandria via LeMat-Bulk describes a relaxed structure of MnNb3Ga4. The functional is GGA-PBE.

Cell lengths 8.970, 5.448, 5.313 Å; angles 90.00, 90.00, 90.00 degrees
Space group Pmn2_1 (No. 31)
Asymmetric unit:
Mn: 0.000 0.094 0.000 x2
Nb: 0.000 0.855 0.487 x2
Nb: 0.234 0.359 0.204 x4
Ga: 0.000 0.362 0.538 x2
Ga: 0.000 0.612 0.980 x2
Ga: 0.243 0.134 0.706 x4

Output
* total moment: 2.9 μB/f.u.
* energy of formation from the pure elements: -0.20 eV per atom
* V: 260 Å³/cell

---

9.
This record from Alexandria via LeMat-Bulk describes a relaxed structure of MnNb8Ga2. The functional is GGA-PBE.

Cell lengths 14.315, 4.601, 6.249 Å; angles 90.00, 111.61, 90.00 degrees
Space group C2/m (No. 12)
Asymmetric unit:
Mn: 0.000 0.000 0.000 x2
Nb: 0.013 0.500 0.738 x4
Nb: 0.110 0.000 0.404 x4
Nb: 0.151 0.000 0.904 x4
Nb: 0.169 0.500 0.189 x4
Ga: 0.194 0.500 0.669 x4

Output
* total moment: 0.0 μB/f.u.
* energy of formation from the pure elements: -0.06 eV per atom
* V: 383 Å³/cell

---

10.
This record from Alexandria via LeMat-Bulk describes a relaxed structure of MnNb3Ga. The functional is GGA-PBE.

Cell lengths 4.590, 4.590, 4.590 Å; angles 90.00, 90.00, 90.00 degrees
Space group Pm-3m (No. 221)
Asymmetric unit:
Mn: 0.000 0.000 0.000 x1
Nb: 0.000 0.000 0.500 x3
Ga: 0.500 0.500 0.500 x1

Output
* total moment: 0.0 μB/f.u.
* energy of formation from the pure elements: 0.60 eV per atom
* V: 97 Å³/cell
* energy relative to the lowest polymorph listed for this composition: 0.0 kJ/mol of atoms

---

In g cm⁻³, the mass density values for the records above are, in order, 6.588, 8.093, 8.270, 7.824, 6.449, 7.888, 7.336, 7.836, 8.137, 6.927.
In eV/atom, the DFT total energy values for the records above are, in order, -5.135, -7.936, -9.207, -7.881, -6.944, -8.296, -8.451, -6.634, -8.769, -7.881.